Entry from the Alexandria database: crystalline Ac12InSi6 at its relaxed geometry (PBE-GGA).

abc: 9.511 9.511 9.511
angles: 109.47 109.47 109.47
Atoms (fractional coordinates):
Ac1 0.112 0.300 0.812
Ac2 0.188 0.488 0.300
Ac3 0.188 0.888 0.700
Ac4 0.300 0.188 0.488
Ac5 0.300 0.812 0.112
Ac6 0.488 0.300 0.188
Ac7 0.512 0.700 0.812
Ac8 0.700 0.188 0.888
Ac9 0.700 0.812 0.512
Ac10 0.812 0.112 0.300
Ac11 0.812 0.512 0.700
Ac12 0.888 0.700 0.188
In1 0.000 0.000 0.000
Si1 0.109 0.500 0.609
Si2 0.391 0.891 0.500
Si3 0.500 0.391 0.891
Si4 0.500 0.609 0.109
Si5 0.609 0.109 0.500
Si6 0.891 0.500 0.391

Values from the calculation:
For the magnetic moment, the calculation gives 0.00 μB/f.u. The symmetry is Im-3, No. 204. The calculation puts the total energy at -4.89 eV/atom. As for the energy relative to the elements, uncorrected: -0.436 eV/atom.

---

Entry from the Alexandria database: crystalline Ac3InSi at its relaxed geometry (PBE-GGA).

abc: 6.930 6.930 12.128
angles: 100.39 100.39 41.10
Atoms (fractional coordinates):
Ac1 0.117 0.117 0.404
Ac2 0.348 0.348 0.905
Ac3 0.381 0.381 0.282
Ac4 0.619 0.619 0.718
Ac5 0.652 0.652 0.095
Ac6 0.883 0.883 0.596
In1 0.047 0.047 0.892
In2 0.953 0.953 0.108
Si1 0.247 0.247 0.650
Si2 0.753 0.753 0.350

Values from the calculation:
For the magnetic moment, the calculation gives 0.00 μB/f.u. The symmetry is C2/m, No. 12. The calculation puts the total energy at -4.42 eV/atom. For the relative energy among the computed polymorphs, the calculation gives 0.028 eV per atom. As for the energy relative to the elements, uncorrected: -0.327 eV/atom.

---

Entry from the Alexandria database: crystalline Ac2InSi3 at its relaxed geometry (PBE-GGA).

abc: 8.821 8.743 6.438
angles: 69.15 67.85 43.00
Atoms (fractional coordinates):
Ac1 0.242 0.758 0.242
Ac2 0.250 0.250 0.250
Ac3 0.750 0.750 0.750
Ac4 0.758 0.242 0.758
In1 0.335 0.335 0.665
In2 0.665 0.665 0.335
Si1 0.155 0.684 0.845
Si2 0.158 0.158 0.842
Si3 0.316 0.845 0.684
Si4 0.684 0.155 0.316
Si5 0.842 0.842 0.158
Si6 0.845 0.316 0.155

Values from the calculation:
For the magnetic moment, the calculation gives 0.00 μB/f.u. The symmetry is Fmmm, No. 69. The calculation puts the total energy at -5.00 eV/atom. As for the energy relative to the elements, uncorrected: -0.458 eV/atom.

---

Entry from the Alexandria database: crystalline Ac4InSi3 at its relaxed geometry (PBE-GGA).

abc: 4.243 4.804 11.932
angles: 90.00 90.00 90.00
Atoms (fractional coordinates):
Ac1 0.000 0.000 0.000
Ac2 0.000 0.500 0.484
Ac3 0.500 0.000 0.700
Ac4 0.500 0.500 0.212
In1 0.000 0.500 0.785
Si1 0.000 0.000 0.285
Si2 0.500 0.000 0.412
Si3 0.500 0.500 0.932

Values from the calculation:
For the magnetic moment, the calculation gives 0.07 μB/f.u. The symmetry is Pmm2, No. 25. The calculation puts the total energy at -4.95 eV/atom. As for the energy relative to the elements, uncorrected: -0.522 eV/atom.

---

Entry from the Alexandria database: crystalline AcInSi2 at its relaxed geometry (PBE-GGA).

abc: 4.082 5.316 5.316
angles: 69.08 90.00 90.00
Atoms (fractional coordinates):
Ac1 0.000 0.000 0.000
In1 0.500 0.570 0.570
Si1 0.500 0.091 0.478
Si2 0.500 0.478 0.091

Values from the calculation:
For the magnetic moment, the calculation gives 0.00 μB/f.u. The symmetry is Amm2, No. 38. The calculation puts the total energy at -4.52 eV/atom. As for the energy relative to the elements, uncorrected: -0.102 eV/atom.

---

Entry from the Alexandria database: crystalline Ac2In3Si2 at its relaxed geometry (PBE-GGA).

abc: 6.172 6.172 7.368
angles: 100.50 100.50 43.57
Atoms (fractional coordinates):
Ac1 0.124 0.124 0.330
Ac2 0.876 0.876 0.670
In1 0.189 0.189 0.856
In2 0.500 0.500 0.000
In3 0.811 0.811 0.144
Si1 0.416 0.416 0.377
Si2 0.584 0.584 0.623

Values from the calculation:
For the magnetic moment, the calculation gives 0.00 μB/f.u. The symmetry is C2/m, No. 12. The calculation puts the total energy at -4.32 eV/atom. As for the energy relative to the elements, uncorrected: -0.420 eV/atom.

---

Entry from the Alexandria database: crystalline Ac3In3Si2 at its relaxed geometry (PBE-GGA).

abc: 6.560 6.560 16.796
angles: 90.00 90.00 140.04
Atoms (fractional coordinates):
Ac1 0.046 0.954 0.606
Ac2 0.046 0.954 0.894
Ac3 0.328 0.672 0.750
Ac4 0.672 0.328 0.250
Ac5 0.954 0.046 0.106
Ac6 0.954 0.046 0.394
In1 0.344 0.656 0.537
In2 0.344 0.656 0.963
In3 0.395 0.605 0.250
In4 0.605 0.395 0.750
In5 0.656 0.344 0.037
In6 0.656 0.344 0.463
Si1 0.244 0.756 0.120
Si2 0.244 0.756 0.380
Si3 0.756 0.244 0.620
Si4 0.756 0.244 0.880

Values from the calculation:
For the magnetic moment, the calculation gives 0.00 μB/f.u. The symmetry is Cmcm, No. 63. The calculation puts the total energy at -4.34 eV/atom. As for the energy relative to the elements, uncorrected: -0.415 eV/atom.

---

Entry from the Alexandria database: crystalline Ac4InSiTe2 at its relaxed geometry (PBE-GGA).

abc: 8.192 4.646 8.356
angles: 90.00 108.42 90.00
Atoms (fractional coordinates):
Ac1 0.232 0.000 0.228
Ac2 0.242 0.500 0.760
Ac3 0.758 0.500 0.240
Ac4 0.768 0.000 0.772
In1 0.500 0.000 0.000
Si1 0.000 0.500 0.000
Te1 0.000 0.000 0.500
Te2 0.500 0.500 0.500

Values from the calculation:
For the magnetic moment, the calculation gives 0.00 μB/f.u. The symmetry is P2/m, No. 10. The calculation puts the total energy at -4.82 eV/atom. As for the energy relative to the elements, uncorrected: -0.960 eV/atom.

---

Entry from the Alexandria database: crystalline Ac6InSi2Te3 at its relaxed geometry (PBE-GGA).

abc: 10.590 10.590 9.613
angles: 103.88 103.88 25.34
Atoms (fractional coordinates):
Ac1 0.009 0.009 0.256
Ac2 0.327 0.327 0.433
Ac3 0.332 0.332 0.894
Ac4 0.668 0.668 0.106
Ac5 0.673 0.673 0.567
Ac6 0.991 0.991 0.744
In1 0.500 0.500 0.000
Si1 0.167 0.167 0.334
Si2 0.833 0.833 0.666
Te1 0.165 0.165 0.832
Te2 0.500 0.500 0.500
Te3 0.835 0.835 0.168

Values from the calculation:
For the magnetic moment, the calculation gives 0.00 μB/f.u. The symmetry is C2/m, No. 12. The calculation puts the total energy at -4.98 eV/atom. As for the energy relative to the elements, uncorrected: -1.008 eV/atom.

---

Entry from the Alexandria database: crystalline Ac2Zn4InSi3 at its relaxed geometry (PBE-GGA).

abc: 4.496 4.496 10.428
angles: 90.00 90.00 90.00
Atoms (fractional coordinates):
Ac1 0.000 0.500 0.243
Ac2 0.500 0.000 0.757
Zn1 0.000 0.000 0.000
Zn2 0.000 0.500 0.639
Zn3 0.500 0.000 0.361
Zn4 0.500 0.500 0.000
In1 0.000 0.000 0.500
Si1 0.000 0.500 0.875
Si2 0.500 0.000 0.125
Si3 0.500 0.500 0.500

Values from the calculation:
For the magnetic moment, the calculation gives 0.00 μB/f.u. The symmetry is P-4m2, No. 115. The calculation puts the total energy at -3.58 eV/atom. As for the energy relative to the elements, uncorrected: -0.348 eV/atom.

---

Entry from the Alexandria database: crystalline AcSm2In9 at its relaxed geometry (PBE-GGA).

abc: 4.769 4.769 14.299
angles: 90.00 90.00 90.00
Atoms (fractional coordinates):
Ac1 0.000 0.000 0.000
Sm1 0.000 0.000 0.340
Sm2 0.000 0.000 0.660
In1 0.000 0.500 0.176
In2 0.000 0.500 0.500
In3 0.000 0.500 0.824
In4 0.500 0.000 0.176
In5 0.500 0.000 0.500
In6 0.500 0.000 0.824
In7 0.500 0.500 0.000
In8 0.500 0.500 0.336
In9 0.500 0.500 0.664

Values from the calculation:
For the magnetic moment, the calculation gives 0.00 μB/f.u. The symmetry is P4/mmm, No. 123. The calculation puts the total energy at -3.62 eV/atom. The energy of formation from the pure elements is -433 meV per atom.

---

Entry from the Alexandria database: crystalline AcSmIn at its relaxed geometry (PBE-GGA).

abc: 5.442 5.442 7.956
angles: 90.00 90.00 120.00
Atoms (fractional coordinates):
Ac1 0.333 0.667 0.383
Ac2 0.667 0.333 0.617
Sm1 0.333 0.667 0.900
Sm2 0.667 0.333 0.100
In1 0.000 0.000 0.202
In2 0.000 0.000 0.798

Values from the calculation:
For the magnetic moment, the calculation gives 0.00 μB/f.u. The symmetry is P-3m1, No. 164. The calculation puts the total energy at -4.07 eV/atom. The energy of formation from the pure elements is -215 meV per atom. For the relative energy among the computed polymorphs, the calculation gives 0.090 eV per atom.

---

Question: The highest magnetic moment belongs to which entry?
Answer: Ac4InSi3

---

Question: Number 1 is which compound?
Answer: Ac12InSi6

---

Question: What is the magnetic moment in the seventh record?
Answer: 0.00 μB/f.u.